Li2TcOsO6: relaxed, PBE-GGA.

Cell and atoms, written as CIF:
```
data_Li2TcOsO6
_cell_length_a 3.7720
_cell_length_b 5.5930
_cell_length_c 5.5930
_cell_angle_alpha 90.00
_cell_angle_beta 90.00
_cell_angle_gamma 90.00
_symmetry_space_group_name_H-M 'P 1'
_symmetry_Int_Tables_number 1
loop_
_symmetry_equiv_pos_as_xyz
'x,y,z'
loop_
_atom_site_label
_atom_site_type_symbol
_atom_site_fract_x
_atom_site_fract_y
_atom_site_fract_z
Li1 Li 0.8241 0.5000 0.0000
O1 O 0.7311 0.2502 0.2502
Tc1 Tc 0.7131 0.0000 0.0000
O2 O 0.2222 0.5000 0.5000
O3 O 0.7311 0.2502 0.7498
Li2 Li 0.8241 0.0000 0.5000
O4 O 0.2207 0.0000 0.0000
Os1 Os 0.7184 0.5000 0.5000
O5 O 0.7311 0.7498 0.2502
O6 O 0.7311 0.7498 0.7498
```

Properties
E_tot = -6.891 eV per atom
V = 11.799 A^3/atom
Formation energy (no corrections) = -1.37 eV/atom

DyTm4Pu: relaxed, PBE-GGA.

Cell and atoms, written as CIF:
```
data_DyTm4Pu
_cell_length_a 8.6169
_cell_length_b 8.6169
_cell_length_c 8.6169
_cell_angle_alpha 98.55
_cell_angle_beta 98.55
_cell_angle_gamma 134.64
_symmetry_space_group_name_H-M 'P 1'
_symmetry_Int_Tables_number 1
loop_
_symmetry_equiv_pos_as_xyz
'x,y,z'
loop_
_atom_site_label
_atom_site_type_symbol
_atom_site_fract_x
_atom_site_fract_y
_atom_site_fract_z
Tm1 Tm 0.2456 0.9983 0.2473
Pu1 Pu 0.7537 0.7537 0.0000
Tm2 Tm 0.2816 0.5095 0.7722
Tm3 Tm 0.7510 0.9983 0.7527
Tm4 Tm 0.7483 0.4956 0.7473
Tm5 Tm 0.2595 0.5316 0.2722
Dy1 Dy 0.2308 0.2308 0.0000
Pu2 Pu 0.5037 0.0037 0.5000
Tm6 Tm 0.7373 0.5095 0.2278
Dy2 Dy 0.9808 0.4808 0.5000
Tm7 Tm 0.7483 0.0010 0.2527
Tm8 Tm 0.2595 0.9873 0.7278
```

Properties
DFT formation energy = 0.735 eV/atom
E_tot = -5.402 eV per atom
V = 35.004 A^3/atom
Offset from the most stable computed form = 692.9 meV/atom

Nd3Tl2In: relaxed, PBE-GGA.

Cell and atoms, written as CIF:
```
data_Nd3Tl2In
_cell_length_a 3.7643
_cell_length_b 3.7643
_cell_length_c 12.5374
_cell_angle_alpha 90.00
_cell_angle_beta 90.00
_cell_angle_gamma 90.00
_symmetry_space_group_name_H-M 'P 1'
_symmetry_Int_Tables_number 1
loop_
_symmetry_equiv_pos_as_xyz
'x,y,z'
loop_
_atom_site_label
_atom_site_type_symbol
_atom_site_fract_x
_atom_site_fract_y
_atom_site_fract_z
Tl1 Tl 0.5000 0.5000 0.8331
Tl2 Tl 0.5000 0.5000 0.1669
Nd1 Nd 0.0000 0.0000 0.0000
Nd2 Nd 0.0000 0.0000 0.6648
In1 In 0.5000 0.5000 0.5000
Nd3 Nd 0.0000 0.0000 0.3352
```

Properties
DFT formation energy = -0.424 eV/atom
E_tot = -4.053 eV per atom
V = 29.610 A^3/atom

PmSc2Cu6: relaxed, PBE-GGA.

Cell and atoms, written as CIF:
```
data_PmSc2Cu6
_cell_length_a 3.2927
_cell_length_b 7.3429
_cell_length_c 7.3429
_cell_angle_alpha 120.00
_cell_angle_beta 90.00
_cell_angle_gamma 90.00
_symmetry_space_group_name_H-M 'P 1'
_symmetry_Int_Tables_number 1
loop_
_symmetry_equiv_pos_as_xyz
'x,y,z'
loop_
_atom_site_label
_atom_site_type_symbol
_atom_site_fract_x
_atom_site_fract_y
_atom_site_fract_z
Cu1 Cu 0.5000 0.0000 0.6614
Cu2 Cu 0.5000 0.0000 0.3386
Cu3 Cu 0.5000 0.6614 0.0000
Cu4 Cu 0.5000 0.3386 0.3386
Cu5 Cu 0.5000 0.3386 0.0000
Cu6 Cu 0.5000 0.6614 0.6614
Sc1 Sc 0.0000 0.6667 0.3333
Pm1 Pm 0.0000 0.0000 0.0000
Sc2 Sc 0.0000 0.3333 0.6667
```

Properties
DFT formation energy = -0.173 eV/atom
E_tot = -4.839 eV per atom
V = 17.084 A^3/atom

Ba2NaGe2: relaxed, PBE-GGA.

Cell and atoms, written as CIF:
```
data_Ba2NaGe2
_cell_length_a 3.9640
_cell_length_b 3.9640
_cell_length_c 12.1389
_cell_angle_alpha 80.60
_cell_angle_beta 80.60
_cell_angle_gamma 90.00
_symmetry_space_group_name_H-M 'P 1'
_symmetry_Int_Tables_number 1
loop_
_symmetry_equiv_pos_as_xyz
'x,y,z'
loop_
_atom_site_label
_atom_site_type_symbol
_atom_site_fract_x
_atom_site_fract_y
_atom_site_fract_z
Ge1 Ge 0.7500 0.2500 0.5000
Ba1 Ba 0.6320 0.6320 0.7361
Na1 Na 0.0000 0.0000 0.0000
Ba2 Ba 0.3680 0.3680 0.2639
Ge2 Ge 0.2500 0.7500 0.5000
```

Properties
DFT formation energy = -0.086 eV/atom
E_tot = -2.966 eV per atom
V = 37.117 A^3/atom
Offset from the most stable computed form = 350.6 meV/atom

CeTmIrAu: relaxed, PBE-GGA.

Cell and atoms, written as CIF:
```
data_CeTmIrAu
_cell_length_a 4.9988
_cell_length_b 4.9988
_cell_length_c 4.9988
_cell_angle_alpha 60.00
_cell_angle_beta 60.00
_cell_angle_gamma 60.00
_symmetry_space_group_name_H-M 'P 1'
_symmetry_Int_Tables_number 1
loop_
_symmetry_equiv_pos_as_xyz
'x,y,z'
loop_
_atom_site_label
_atom_site_type_symbol
_atom_site_fract_x
_atom_site_fract_y
_atom_site_fract_z
Ce1 Ce 0.7500 0.7500 0.7500
Ir1 Ir 0.5000 0.5000 0.5000
Tm1 Tm 0.2500 0.2500 0.2500
Au1 Au 0.0000 0.0000 0.0000
```

Properties
DFT formation energy = -0.727 eV/atom
E_tot = -6.363 eV per atom
V = 22.081 A^3/atom

Cr2AgSe: relaxed, PBE-GGA.

Cell and atoms, written as CIF:
```
data_Cr2AgSe
_cell_length_a 4.0726
_cell_length_b 3.1465
_cell_length_c 6.0167
_cell_angle_alpha 105.11
_cell_angle_beta 90.00
_cell_angle_gamma 90.00
_symmetry_space_group_name_H-M 'P 1'
_symmetry_Int_Tables_number 1
loop_
_symmetry_equiv_pos_as_xyz
'x,y,z'
loop_
_atom_site_label
_atom_site_type_symbol
_atom_site_fract_x
_atom_site_fract_y
_atom_site_fract_z
Se1 Se 0.0000 0.5318 0.4394
Cr1 Cr 0.5000 0.3977 0.1708
Cr2 Cr 0.0000 0.8700 0.1151
Ag1 Ag 0.5000 0.7005 0.7747
```

Properties
E_tot = -6.151 eV per atom
V = 18.609 A^3/atom
Formation energy (no corrections) = 0.24 eV/atom

Na2SrIn6: relaxed, PBE-GGA.

Cell and atoms, written as CIF:
```
data_Na2SrIn6
_cell_length_a 3.8671
_cell_length_b 8.7171
_cell_length_c 8.9369
_cell_angle_alpha 119.19
_cell_angle_beta 102.50
_cell_angle_gamma 90.00
_symmetry_space_group_name_H-M 'P 1'
_symmetry_Int_Tables_number 1
loop_
_symmetry_equiv_pos_as_xyz
'x,y,z'
loop_
_atom_site_label
_atom_site_type_symbol
_atom_site_fract_x
_atom_site_fract_y
_atom_site_fract_z
In1 In 0.6805 0.8578 0.3609
Sr1 Sr 0.0000 0.5000 0.0000
In2 In 0.6805 0.5031 0.3609
Na1 Na 0.1379 0.1379 0.2758
In3 In 0.3195 0.4969 0.6391
In4 In 0.5000 0.1720 0.0000
In5 In 0.3195 0.1422 0.6391
Na2 Na 0.8621 0.8621 0.7242
In6 In 0.5000 0.8280 0.0000
```

Properties
DFT formation energy = -0.180 eV/atom
E_tot = -2.486 eV per atom
V = 28.311 A^3/atom